[1]
## Be2Nb2Co5Si (GGA-PBE)

Data for Be2Nb2Co5Si after structural relaxation.

Cell: 2.8534 8.8706 8.8706 Å, 90.00 90.00 90.00°
Fractional positions:
Be 0.0000 0.1224 0.6224
Be 0.0000 0.8776 0.3776
Be 0.0000 0.6224 0.8776
Be 0.0000 0.3776 0.1224
Nb 0.0000 0.6762 0.1762
Nb 0.0000 0.3238 0.8238
Nb 0.0000 0.1762 0.3238
Nb 0.0000 0.8238 0.6762
Co 0.5000 0.2054 0.0619
Co 0.5000 0.7946 0.9381
Co 0.5000 0.0619 0.7946
Co 0.5000 0.7054 0.4381
Co 0.5000 0.9381 0.2054
Co 0.5000 0.2946 0.5619
Co 0.5000 0.5619 0.7054
Co 0.5000 0.4381 0.2946
Co 0.5000 0.5000 0.0000
Co 0.5000 0.0000 0.5000
Si 0.0000 0.0000 0.0000
Si 0.0000 0.5000 0.5000

Properties
Energy relative to the elements, uncorrected, meV/atom: -356
SG: P4/mbm, No. 127
M_tot, μB/f.u.: 0.89
VASP energy, eV/atom: -7.21

=====

[2]
## Ag3SeO3 (GGA-PBE)

Data for Ag3SeO3 after structural relaxation.

Cell: 5.2038 7.1064 7.1062 Å, 119.98 90.00 90.00°
Fractional positions:
Ag 0.2500 0.6018 0.8007
Ag 0.2500 0.1991 0.3982
Ag 0.2500 0.1992 0.8010
Ag 0.7500 0.3982 0.1993
Ag 0.7500 0.8009 0.6018
Ag 0.7500 0.8008 0.1990
Se 0.7500 0.3332 0.6668
Se 0.2500 0.6669 0.3332
O 0.7500 0.6361 0.8181
O 0.7500 0.1818 0.3639
O 0.7500 0.1817 0.8185
O 0.2500 0.3639 0.1819
O 0.2500 0.8182 0.6361
O 0.2500 0.8183 0.1815

Properties
Energy relative to the elements, uncorrected, meV/atom: -33
SG: P6_3/mmc, No. 194
M_tot, μB/f.u.: 0.00
VASP energy, eV/atom: -3.88

=====

[3]
## Tb4TmPu (GGA-PBE)

Data for Tb4TmPu after structural relaxation.

Cell: 4.9578 11.1875 14.9884 Å, 26.33 90.00 90.00°
Fractional positions:
Tb 0.4999 0.9969 0.8362
Tb 0.9999 0.5031 0.1638
Tb 0.5002 0.4929 0.6704
Tb 0.0002 0.0071 0.3296
Tb 0.5001 0.0031 0.1638
Tb 0.0001 0.4969 0.8362
Tb 0.4998 0.5071 0.3296
Tb 0.9998 0.9929 0.6704
Tm 0.0000 0.5000 0.5000
Tm 0.5000 0.0000 0.5000
Pu 0.0000 0.0000 0.0000
Pu 0.5000 0.5000 0.0000

Properties
Formation enthalpy at 0 K, kJ/mol of formula units: 41
SG: C2/m, No. 12
M_tot, μB/f.u.: 6.45
VASP energy, eV/atom: -6.15

=====

[4]
## Sm6HoEr3Th2 (GGA-PBE)

Data for Sm6HoEr3Th2 after structural relaxation.

Cell: 6.2002 6.2002 11.9002 Å, 94.99 94.99 119.94°
Fractional positions:
Sm 0.9168 0.5811 0.7511
Sm 0.7470 0.7470 0.2494
Sm 0.0832 0.4189 0.2489
Sm 0.5811 0.9168 0.7511
Sm 0.2530 0.2530 0.7506
Sm 0.4189 0.0832 0.2489
Ho 0.0000 0.0000 0.0000
Er 0.1667 0.8333 0.5000
Er 0.8333 0.1667 0.5000
Er 0.5000 0.5000 0.5000
Th 0.3336 0.6664 0.0000
Th 0.6664 0.3336 0.0000

Properties
Formation enthalpy at 0 K, kJ/mol of formula units: 42
SG: C2/m, No. 12
M_tot, μB/f.u.: 0.00
VASP energy, eV/atom: -5.08

=====

[5]
## Cu5Pd4Au (GGA-PBE)

Data for Cu5Pd4Au after structural relaxation.

Cell: 4.9543 6.0457 6.0457 Å, 80.34 65.81 65.81°
Fractional positions:
Cu 0.8186 0.3695 0.8811
Cu 0.1881 0.8811 0.6305
Cu 0.6997 0.1189 0.3695
Cu 0.0692 0.6305 0.1189
Cu 0.7072 0.0000 0.0000
Pd 0.3892 0.3962 0.7265
Pd 0.7854 0.7265 0.6038
Pd 0.1157 0.2735 0.3962
Pd 0.5119 0.6038 0.2735
Au 0.2252 0.0000 0.0000

Properties
Formation enthalpy at 0 K, kJ/mol of formula units: 131
Distance to the lowest polymorph of the same formula, eV/f.u.: 2.52
SG: I4, No. 79
M_tot, μB/f.u.: 0.00
VASP energy, eV/atom: -4.32

=====

[6]
## TmLu2Se (GGA-PBE)

Data for TmLu2Se after structural relaxation.

Cell: 3.5979 3.5979 10.5026 Å, 80.14 80.14 60.00°
Fractional positions:
Lu 0.1071 0.1071 0.6786
Lu 0.8929 0.8929 0.3214
Tm 0.0000 0.0000 0.0000
Se 0.5000 0.5000 0.5000

Properties
Distance to the lowest polymorph of the same formula, eV/f.u.: 0.75
Energy relative to the elements, uncorrected, meV/atom: -465
SG: R-3m, No. 166
M_tot, μB/f.u.: 0.01
VASP energy, eV/atom: -4.71

=====

Question: Which of these has the highest VASP energy?
Answer: Ag3SeO3

=====

Question: M_tot of number 6 (TmLu2Se)?
Answer: 0.01 μB/f.u.

=====

What did the third record say?
## Tb4TmPu (GGA-PBE)

Data for Tb4TmPu after structural relaxation.

Cell: 4.9578 11.1875 14.9884 Å, 26.33 90.00 90.00°
Fractional positions:
Tb 0.4999 0.9969 0.8362
Tb 0.9999 0.5031 0.1638
Tb 0.5002 0.4929 0.6704
Tb 0.0002 0.0071 0.3296
Tb 0.5001 0.0031 0.1638
Tb 0.0001 0.4969 0.8362
Tb 0.4998 0.5071 0.3296
Tb 0.9998 0.9929 0.6704
Tm 0.0000 0.5000 0.5000
Tm 0.5000 0.0000 0.5000
Pu 0.0000 0.0000 0.0000
Pu 0.5000 0.5000 0.0000

Properties
Formation enthalpy at 0 K, kJ/mol of formula units: 41
SG: C2/m, No. 12
M_tot, μB/f.u.: 6.45
VASP energy, eV/atom: -6.15

=====

Question: Which of these has the highest VASP energy?
Answer: Ag3SeO3